Compound: LiAlCd2
Source: Alexandria
Functional: PBE
Structure: relaxed Values from VASP.

Quantum ESPRESSO input file:
```
&SYSTEM
  ibrav = 0, nat = 4, ntyp = 3
/
ATOMIC_SPECIES
Li 6.94 Li.upf
Cd 112.41 Cd.upf
Al 26.98 Al.upf
CELL_PARAMETERS angstrom
5.024 0.002 0.022
4.087 2.922 0.022
0.755 0.242 5.357
ATOMIC_POSITIONS angstrom
Li 2.467 0.791 1.350
Cd 0.004 0.001 0.025
Al 7.400 2.374 4.051
Cd 4.929 1.582 2.676
```

space-group type: C2/m (12)
formation energy from the elements: -0.060 eV/atom
ρ: 5.5 g/cm3

Compound: Li3AlCd
Source: Alexandria
Functional: PBE
Structure: relaxed Values from VASP.

Quantum ESPRESSO input file:
```
&SYSTEM
  ibrav = 0, nat = 10, ntyp = 3
/
ATOMIC_SPECIES
Li 6.94 Li.upf
Cd 112.41 Cd.upf
Al 26.98 Al.upf
CELL_PARAMETERS angstrom
-0.257 -0.163 -4.543
0.401 -5.684 0.181
-6.738 -0.390 2.673
ATOMIC_POSITIONS angstrom
Li -1.317 -2.973 0.188
Li -1.121 -5.761 0.276
Cd -6.579 -1.880 0.409
Li -3.977 -4.556 0.391
Li -2.618 -1.680 -2.081
Cd -0.016 -4.356 -2.098
Al -3.855 -1.693 0.266
Li -5.277 -3.263 -1.877
Al -2.739 -4.543 -1.955
Li -5.474 -0.475 -1.966
```

space-group type: P2_1/m (11)
energy relative to the lowest polymorph listed for this composition: 83.2 meV/atom
formation energy from the elements: -0.114 eV/atom
ρ: 3.0 g/cm3